The following is a DFT calculation (GGA-PBE) of a relaxed KH7Pt4 crystal.

a b c (Å): 5.0014 5.4187 10.5649
angles (deg): 90.00 90.00 90.00
Last column: nearest neighbours and their distance in Å.
Fractional positions:
1 K 0.6144 0.7239 0.5000  6 H 2.53-2.75
2 K 0.1144 0.2761 0.0000  6 H 2.53-2.75
3 H 0.8979 0.6719 0.1269  2 Pt 1.68-1.81
4 H 0.3979 0.3281 0.3731  2 Pt 1.68-1.81
5 H 0.5807 0.3749 0.8791  2 Pt 1.67-1.81
6 H 0.0807 0.6251 0.6209  2 Pt 1.67-1.81
7 H 0.0807 0.6251 0.3791  2 Pt 1.67-1.81
8 H 0.5807 0.3749 0.1209  2 Pt 1.67-1.81
9 H 0.3928 0.8967 0.6960  2 Pt 1.73-1.76
10 H 0.8928 0.1033 0.8040  2 Pt 1.73-1.76
11 H 0.8928 0.1033 0.1960  2 Pt 1.73-1.76
12 H 0.3928 0.8967 0.3040  2 Pt 1.73-1.76
13 H 0.5107 0.7120 0.0000  2 Pt 1.76
14 H 0.0107 0.2880 0.5000  2 Pt 1.76
15 H 0.8979 0.6719 0.8731  2 Pt 1.68-1.81
16 H 0.3979 0.3281 0.6269  2 Pt 1.68-1.81
17 Pt 0.5716 0.6710 0.8370  3 H 1.67-1.76
18 Pt 0.0719 0.8430 0.2494  4 H 1.73-1.81
19 Pt 0.5719 0.1570 0.2506  4 H 1.73-1.81
20 Pt 0.0716 0.3290 0.6630  3 H 1.67-1.76
21 Pt 0.0716 0.3290 0.3370  3 H 1.67-1.76
22 Pt 0.5716 0.6710 0.1630  3 H 1.67-1.76
23 Pt 0.0719 0.8430 0.7506  4 H 1.73-1.81
24 Pt 0.5719 0.1570 0.7494  4 H 1.73-1.81

Results
For the magnetization, the calculation gives 0.00 μB/f.u. The value obtained for the energy is -4.110 eV per atom. The crystal system is orthorhombic.